1.
A geometry-optimized Th3Se3N structure. Source: the Alexandria database, functional PBE.

The structure in CIF format:
```
data_Th3Se3N
_space_group_name_H-M_alt 'C 1 2/m 1'
_space_group_IT_number 12
_cell_length_a 8.300
_cell_length_b 12.231
_cell_length_c 7.131
_cell_angle_alpha 90.00
_cell_angle_beta 101.44
_cell_angle_gamma 90.00
loop_
_space_group_symop_operation_xyz
'x,y,z'
'-x,-y,-z'
'-x,y,-z'
'x,-y,z'
'x+1/2,y+1/2,z'
'-x+1/2,-y+1/2,-z'
'-x+1/2,y+1/2,-z'
'x+1/2,-y+1/2,z'
loop_
_atom_site_label
_atom_site_type_symbol
_atom_site_fract_x
_atom_site_fract_y
_atom_site_fract_z
Th1 Th 0.105 0.000 0.309
Th2 Th 0.202 0.348 0.202
Se1 Se 0.000 0.162 0.000
Se2 Se 0.000 0.248 0.500
Se3 Se 0.095 0.500 0.839
N1 N 0.172 0.000 0.637
```

* calculated total energy: -7.4358 eV per atom
* offset from the most stable computed form: 0.131 eV per atom
* formation energy (no corrections): -1.57 eV/atom

2.
A geometry-optimized Al2RhSe structure. Source: the Alexandria database, functional PBE.

The structure in CIF format:
```
data_Al2RhSe
_space_group_name_H-M_alt 'F -4 3 m'
_space_group_IT_number 216
_space_group_name_Hall 'F -4 2 3'
_cell_length_a 6.406
_cell_length_b 6.406
_cell_length_c 6.406
_cell_angle_alpha 90.00
_cell_angle_beta 90.00
_cell_angle_gamma 90.00
loop_
_atom_site_label
_atom_site_type_symbol
_atom_site_fract_x
_atom_site_fract_y
_atom_site_fract_z
Al1 Al 0.000 0.000 0.000
Al2 Al 0.250 0.250 0.250
Rh1 Rh 0.250 0.250 0.750
Se1 Se 0.000 0.000 0.500
```

* calculated total energy: -4.6441 eV per atom
* formation energy (no corrections): -0.06 eV/atom

3.
A geometry-optimized K2IrBr structure. Source: the Alexandria database, functional PBE.

The structure in CIF format:
```
data_K2IrBr
_space_group_name_H-M_alt 'P m m m'
_space_group_IT_number 47
_cell_length_a 3.417
_cell_length_b 3.485
_cell_length_c 9.227
_cell_angle_alpha 90.00
_cell_angle_beta 90.00
_cell_angle_gamma 90.00
loop_
_space_group_symop_operation_xyz
'x,y,z'
'-x,-y,-z'
'-x,-y,z'
'x,y,-z'
'x,-y,-z'
'-x,y,z'
'-x,y,-z'
'x,-y,z'
loop_
_atom_site_label
_atom_site_type_symbol
_atom_site_fract_x
_atom_site_fract_y
_atom_site_fract_z
K1 K 0.000 0.000 0.232
Ir1 Ir 0.500 0.500 0.500
Br1 Br 0.500 0.500 0.000
```

* calculated total energy: -3.1268 eV per atom
* offset from the most stable computed form: 0.000 eV per atom
* formation energy (no corrections): 0.06 eV/atom

4.
A geometry-optimized AgAs2Rh structure. Source: the Alexandria database, functional PBE.

The structure in CIF format:
```
data_AgAs2Rh
_space_group_name_H-M_alt 'F m -3 m'
_space_group_IT_number 225
_space_group_name_Hall '-F 4 2 3'
_cell_length_a 6.450
_cell_length_b 6.450
_cell_length_c 6.450
_cell_angle_alpha 90.00
_cell_angle_beta 90.00
_cell_angle_gamma 90.00
loop_
_atom_site_label
_atom_site_type_symbol
_atom_site_fract_x
_atom_site_fract_y
_atom_site_fract_z
Ag1 Ag 0.000 0.000 0.000
As1 As 0.250 0.250 0.250
Rh1 Rh 0.000 0.000 0.500
```

* calculated total energy: -4.8161 eV per atom
* offset from the most stable computed form: 0.117 eV per atom
* energy of formation from the pure elements: 59.3 meV/atom